{
  "formula": "NbVSO2",
  "functional": "PBE+U",
  "state": "optimized geometry",
  "cell": [[3.876, 0.000, 0.000], [0.000, 3.876, 0.000], [0.000, 0.000, 4.618]],
  "species": ["Nb", "V", "S", "O", "O"],
  "fractional_positions": [[0.000, 0.000, 0.000], [0.500, 0.500, 0.000], [0.500, 0.500, 0.500], [0.000, 0.500, 0.500], [0.500, 0.000, 0.500]],
  "space_group": "P4/mmm",
  "energy_ev_per_atom": -5.620,
  "dos_at_fermi_per_ev_atom": 0.423,
  "volume_a3_per_atom": 13.88
}